[1]
DFT (PBE) results for a geometry-optimized Cd2TcSb2 structure.

Cell: 6.9433 6.9433 4.9113 Å, 90.00 90.00 90.00°
Fractional positions:
Sb 0.8500 0.6500 0.0000
Sb 0.1500 0.3500 0.0000
Tc 0.5000 0.5000 0.0000
Sb 0.6500 0.1500 0.0000
Cd 0.6683 0.8317 0.5000
Cd 0.3317 0.1683 0.5000
Sb 0.3500 0.8500 0.0000
Cd 0.1683 0.6683 0.5000
Tc 0.0000 0.0000 0.0000
Cd 0.8317 0.3317 0.5000

Summary:
As for the density of states at the Fermi level: 3.90 states/eV/cell. The value obtained for the uncorrected formation energy is 1.625 eV/f.u. As for the energy above the most stable polymorph in this dataset: 0 meV/atom. The total magnetic moment is 0.15 μB per atom.

[2]
DFT (PBE) results for a geometry-optimized Cd2TcSb structure.

Cell: 6.1454 6.1454 3.2466 Å, 73.05 73.05 122.45°
Fractional positions:
Cd 0.0000 0.0000 0.0000
Cd 0.5000 0.5000 0.0000
Sb 0.5000 0.0000 0.5000
Tc 0.0000 0.5000 0.5000

Summary:
As for the density of states at the Fermi level: 3.23 states/eV/cell. The value obtained for the uncorrected formation energy is 1.642 eV/f.u. The total magnetic moment is 0.20 μB per atom.

[3]
DFT (PBE) results for a geometry-optimized Cd2TcSb structure.

Cell: 7.0627 7.0627 7.0627 Å, 155.15 140.36 47.35°
Fractional positions:
Cd 0.0737 0.0737 0.0000
Sb 0.4284 0.4284 0.0000
Cd 0.7376 0.2376 0.5000
Tc 0.2603 0.7603 0.5000

Summary:
As for the density of states at the Fermi level: 2.27 states/eV/cell. The value obtained for the uncorrected formation energy is 1.067 eV/f.u. The total magnetic moment is 0.00 μB per atom.

[4]
DFT (PBE) results for a geometry-optimized CdTcSb2 structure.

Cell: 7.3517 7.3517 7.3517 Å, 154.71 146.76 42.22°
Fractional positions:
Cd 0.6862 0.1862 0.5000
Sb 0.0231 0.0231 0.0000
Tc 0.4743 0.4743 0.0000
Sb 0.3164 0.8164 0.5000

Summary:
As for the density of states at the Fermi level: 2.41 states/eV/cell. The value obtained for the uncorrected formation energy is 0.756 eV/f.u. The total magnetic moment is 0.00 μB per atom.

[5]
DFT (PBE) results for a geometry-optimized Cd2TcSb structure.

Cell: 5.3189 5.3189 5.3189 Å, 132.49 132.49 69.45°
Fractional positions:
Sb 0.5000 0.5000 0.0000
Tc 0.7500 0.2500 0.5000
Cd 0.0000 0.0000 0.0000
Cd 0.2500 0.7500 0.5000

Summary:
As for the density of states at the Fermi level: 1.76 states/eV/cell. The value obtained for the uncorrected formation energy is 1.496 eV/f.u. The total magnetic moment is 0.39 μB per atom.

[6]
DFT (PBE) results for a geometry-optimized CdTc2Sb structure.

Cell: 8.8740 8.8740 8.8740 Å, 20.02 20.02 20.02°
Fractional positions:
Sb 0.7500 0.7500 0.7500
Cd 0.2500 0.2500 0.2500
Tc 0.4948 0.4948 0.4948
Tc 0.0052 0.0052 0.0052

Summary:
As for the density of states at the Fermi level: 4.23 states/eV/cell. The value obtained for the uncorrected formation energy is 1.804 eV/f.u. As for the energy above the most stable polymorph in this dataset: 318 meV/atom. The total magnetic moment is 0.15 μB per atom.

[7]
DFT (PBE) results for a geometry-optimized CdTc2Sb structure.

Cell: 3.2488 3.2488 6.6409 Å, 90.00 90.00 90.00°
Fractional positions:
Tc 0.0000 0.0000 0.5280
Sb 0.5000 0.5000 0.7500
Cd 0.5000 0.5000 0.2500
Tc 0.0000 0.0000 0.9720

Summary:
As for the density of states at the Fermi level: 5.01 states/eV/cell. The value obtained for the uncorrected formation energy is 1.556 eV/f.u. As for the energy above the most stable polymorph in this dataset: 256 meV/atom. The total magnetic moment is 0.00 μB per atom.

[8]
DFT (PBE) results for a geometry-optimized CdTc2Sb structure.

Cell: 6.0262 6.0262 6.0262 Å, 151.42 134.44 54.67°
Fractional positions:
Tc 0.7939 0.2939 0.5000
Cd 0.4980 0.4980 0.0000
Sb 0.2154 0.7154 0.5000
Tc 0.9928 0.9928 0.0000

Summary:
As for the density of states at the Fermi level: 3.49 states/eV/cell. The value obtained for the uncorrected formation energy is 1.649 eV/f.u. As for the energy above the most stable polymorph in this dataset: 280 meV/atom. The total magnetic moment is 0.00 μB per atom.

[9]
DFT (PBE) results for a geometry-optimized CdTcSb2 structure.

Cell: 3.2526 3.2455 9.3905 Å, 69.36 90.00 90.00°
Fractional positions:
Tc 0.5000 0.2500 0.2500
Sb 0.0000 0.9393 0.0640
Cd 0.5000 0.7500 0.7500
Sb 0.0000 0.5607 0.4360

Summary:
As for the density of states at the Fermi level: 1.70 states/eV/cell. The value obtained for the uncorrected formation energy is 0.182 eV/f.u. The total magnetic moment is 0.00 μB per atom.

[10]
DFT (PBE) results for a geometry-optimized CdTc2Sb structure.

Cell: 3.0168 3.0168 8.8317 Å, 90.00 90.00 115.09°
Fractional positions:
Cd 0.5000 0.5000 0.2500
Tc 0.0000 0.0000 0.9840
Tc 0.0000 0.0000 0.5160
Sb 0.5000 0.5000 0.7500

Summary:
As for the density of states at the Fermi level: 4.26 states/eV/cell. The value obtained for the uncorrected formation energy is 2.451 eV/f.u. As for the energy above the most stable polymorph in this dataset: 480 meV/atom. The total magnetic moment is 0.00 μB per atom.

[11]
DFT (PBE) results for a geometry-optimized Cd4TcSb structure.

Cell: 5.6434 5.6434 5.6434 Å, 60.00 60.00 60.00°
Fractional positions:
Cd 0.3741 0.8777 0.3741
Cd 0.8777 0.3741 0.3741
Cd 0.3741 0.3741 0.8777
Cd 0.3741 0.3741 0.3741
Sb 0.7500 0.7500 0.7500
Tc 0.0000 0.0000 0.0000

Summary:
As for the density of states at the Fermi level: 5.34 states/eV/cell. The value obtained for the uncorrected formation energy is 3.128 eV/f.u. The total magnetic moment is 0.18 μB per atom.

[12]
DFT (PBE) results for a geometry-optimized Cd2TcSb structure.

Cell: 3.0380 3.0380 10.8476 Å, 90.00 90.00 115.27°
Fractional positions:
Tc 0.5000 0.5000 0.7516
Sb 0.0000 0.0000 0.5603
Cd 0.0000 0.0000 0.9660
Cd 0.5000 0.5000 0.2221

Summary:
As for the density of states at the Fermi level: 3.05 states/eV/cell. The value obtained for the uncorrected formation energy is 1.379 eV/f.u. The total magnetic moment is 0.00 μB per atom.

[13]
DFT (PBE) results for a geometry-optimized CdTcSb2 structure.

Cell: 5.0702 5.0702 5.0702 Å, 125.45 125.45 80.80°
Fractional positions:
Sb 0.0000 0.0000 0.0000
Cd 0.7500 0.2500 0.5000
Tc 0.2500 0.7500 0.5000
Sb 0.5000 0.5000 0.0000

Summary:
As for the density of states at the Fermi level: 4.71 states/eV/cell. The value obtained for the uncorrected formation energy is 1.687 eV/f.u. The total magnetic moment is 0.00 μB per atom.

[14]
DFT (PBE) results for a geometry-optimized CdTcSb2 structure.

Cell: 3.1317 3.1317 10.2565 Å, 90.00 90.00 111.82°
Fractional positions:
Sb 0.0000 0.0000 0.9705
Sb 0.5000 0.5000 0.3105
Cd 0.5000 0.5000 0.7182
Tc 0.0000 0.0000 0.5008

Summary:
As for the density of states at the Fermi level: 3.27 states/eV/cell. The value obtained for the uncorrected formation energy is 1.615 eV/f.u. The total magnetic moment is 0.00 μB per atom.

[15]
DFT (PBE) results for a geometry-optimized CdTcSbTe2 structure.

Cell: 5.5790 5.5790 5.4240 Å, 90.00 90.00 90.00°
Fractional positions:
Sb 0.0000 0.0000 0.5000
Te 0.5000 0.0000 0.0000
Te 0.0000 0.5000 0.0000
Tc 0.5000 0.5000 0.5000
Cd 0.0000 0.0000 0.0000

Summary:
As for the density of states at the Fermi level: 4.97 states/eV/cell. The value obtained for the uncorrected formation energy is 6.635 eV/f.u. As for the energy above the most stable polymorph in this dataset: 878 meV/atom. The total magnetic moment is 0.76 μB per atom.

[16]
DFT (PBE) results for a geometry-optimized CdTcSb2Te structure.

Cell: 5.4397 5.5669 5.4397 Å, 90.00 90.00 90.00°
Fractional positions:
Sb 0.0000 0.0000 0.5000
Tc 0.5000 0.5000 0.5000
Te 0.0000 0.5000 0.0000
Cd 0.0000 0.0000 0.0000
Sb 0.5000 0.0000 0.0000

Summary:
As for the density of states at the Fermi level: 4.99 states/eV/cell. The value obtained for the uncorrected formation energy is 7.025 eV/f.u. As for the energy above the most stable polymorph in this dataset: 972 meV/atom. The total magnetic moment is 0.67 μB per atom.

[17]
DFT (PBE) results for a geometry-optimized CdTcSbTe2 structure.

Cell: 5.3263 5.3263 5.1414 Å, 90.00 90.00 90.00°
Fractional positions:
Cd 0.5000 0.5000 0.5000
Tc 0.0000 0.0000 0.0000
Sb 0.0000 0.0000 0.5000
Te 0.0000 0.5000 0.0000
Te 0.5000 0.0000 0.0000

Summary:
As for the density of states at the Fermi level: 7.27 states/eV/cell. The value obtained for the uncorrected formation energy is 2.247 eV/f.u. As for the energy above the most stable polymorph in this dataset: 0 meV/atom. The total magnetic moment is 0.00 μB per atom.

[18]
DFT (PBE) results for a geometry-optimized CdTcSb2Te structure.

Cell: 5.0582 5.0582 5.7545 Å, 90.00 90.00 90.00°
Fractional positions:
Tc 0.0000 0.0000 0.0000
Sb 0.5000 0.0000 0.0000
Te 0.0000 0.0000 0.5000
Sb 0.0000 0.5000 0.0000
Cd 0.5000 0.5000 0.5000

Summary:
As for the density of states at the Fermi level: 4.90 states/eV/cell. The value obtained for the uncorrected formation energy is 2.164 eV/f.u. As for the energy above the most stable polymorph in this dataset: 0 meV/atom. The total magnetic moment is 0.05 μB per atom.

[19]
DFT (PBE) results for a geometry-optimized Cd2SbTe structure.

Cell: 5.3247 5.3247 5.3247 Å, 60.00 60.00 60.00°
Fractional positions:
Cd 0.0000 0.0000 0.0000
Cd 0.2500 0.2500 0.2500
Sb 0.5000 0.5000 0.5000
Te 0.7500 0.7500 0.7500

Summary:
As for the density of states at the Fermi level: 3.88 states/eV/cell. The value obtained for the uncorrected formation energy is 0.696 eV/f.u. As for the energy above the most stable polymorph in this dataset: 285 meV/atom. The total magnetic moment is 0.00 μB per atom.

[20]
DFT (PBE) results for a geometry-optimized CdSb2Te structure.

Cell: 3.3436 3.3436 10.3817 Å, 90.00 90.00 110.08°
Fractional positions:
Te 0.0000 0.0000 0.5140
Sb 0.0000 0.0000 0.9931
Sb 0.5000 0.5000 0.2409
Cd 0.5000 0.5000 0.7520

Summary:
As for the density of states at the Fermi level: 2.24 states/eV/cell. The value obtained for the uncorrected formation energy is 0.764 eV/f.u. As for the energy above the most stable polymorph in this dataset: 261 meV/atom. The total magnetic moment is 0.00 μB per atom.

[21]
DFT (PBE) results for a geometry-optimized CdSb2Te structure.

Cell: 4.4027 4.4035 6.1175 Å, 90.00 90.00 90.00°
Fractional positions:
Te 0.0000 0.0000 0.6415
Cd 0.5000 0.5000 0.6158
Sb 0.5000 0.5000 0.1272
Sb 0.0000 0.0000 0.1155

Summary:
As for the density of states at the Fermi level: 1.71 states/eV/cell. The value obtained for the uncorrected formation energy is -0.281 eV/f.u. As for the energy above the most stable polymorph in this dataset: 0 meV/atom. The total magnetic moment is 0.00 μB per atom.

[22]
DFT (PBE) results for a geometry-optimized Cd2SbTe structure.

Cell: 7.0777 7.0777 7.0777 Å, 147.03 144.12 49.52°
Fractional positions:
Cd 0.0323 0.0323 0.0000
Sb 0.4796 0.4796 0.0000
Cd 0.7049 0.2049 0.5000
Te 0.2832 0.7832 0.5000

Summary:
As for the density of states at the Fermi level: 1.90 states/eV/cell. The value obtained for the uncorrected formation energy is 0.205 eV/f.u. As for the energy above the most stable polymorph in this dataset: 163 meV/atom. The total magnetic moment is 0.00 μB per atom.

[23]
DFT (PBE) results for a geometry-optimized Cd2SbTe structure.

Cell: 4.2134 4.7645 6.0139 Å, 71.06 90.00 90.00°
Fractional positions:
Cd 0.0000 0.5043 0.4919
Sb 0.5000 0.2500 0.2500
Cd 0.0000 0.9957 0.0081
Te 0.5000 0.7500 0.7500

Summary:
As for the density of states at the Fermi level: 1.27 states/eV/cell. The value obtained for the uncorrected formation energy is -0.072 eV/f.u. As for the energy above the most stable polymorph in this dataset: 94 meV/atom. The total magnetic moment is 0.00 μB per atom.

[24]
DFT (PBE) results for a geometry-optimized Cd2SbTe structure.

Cell: 3.6284 4.4912 7.1412 Å, 90.00 90.00 90.00°
Fractional positions:
Sb 0.0000 0.0000 0.4037
Cd 0.0000 0.0000 0.9887
Cd 0.5000 0.5000 0.2669
Te 0.5000 0.5000 0.8407

Summary:
As for the density of states at the Fermi level: 0.95 states/eV/cell. The value obtained for the uncorrected formation energy is -0.134 eV/f.u. As for the energy above the most stable polymorph in this dataset: 78 meV/atom. The total magnetic moment is 0.00 μB per atom.

[25]
DFT (PBE) results for a geometry-optimized Cd3SbTe structure.

Cell: 8.0480 10.4832 10.4832 Å, 53.15 67.50 67.50°
Fractional positions:
Te 0.2452 0.5849 0.9022
Cd 0.3441 0.4125 0.7219
Cd 0.6559 0.5875 0.2781
Cd 0.6540 0.0450 0.7831
Sb 0.2500 0.6164 0.3836
Sb 0.7500 0.3836 0.6164
Cd 0.3460 0.9550 0.2169
Cd 0.3672 0.4138 0.2229
Cd 0.1559 0.2781 0.5875
Cd 0.8672 0.2229 0.4138
Sb 0.7500 0.9076 0.0924
Cd 0.1540 0.7831 0.0450
Te 0.7548 0.4151 0.0978
Cd 0.8441 0.7219 0.4125
Sb 0.2500 0.0924 0.9076
Te 0.2548 0.0978 0.4151
Cd 0.6328 0.5862 0.7771
Te 0.7452 0.9022 0.5849
Cd 0.1328 0.7771 0.5862
Cd 0.8460 0.2169 0.9550

Summary:
As for the density of states at the Fermi level: 5.56 states/eV/cell. The value obtained for the uncorrected formation energy is -0.361 eV/f.u. As for the energy above the most stable polymorph in this dataset: 26 meV/atom. The total magnetic moment is 0.00 μB per atom.

[26]
DFT (PBE) results for a geometry-optimized CdSb2Te structure.

Cell: 7.5108 7.5108 7.5108 Å, 147.67 148.09 46.06°
Fractional positions:
Sb 0.9474 0.9474 0.0000
Sb 0.7892 0.2892 0.5000
Te 0.5474 0.5474 0.0000
Cd 0.2160 0.7160 0.5000

Summary:
As for the density of states at the Fermi level: 1.95 states/eV/cell. The value obtained for the uncorrected formation energy is 0.402 eV/f.u. As for the energy above the most stable polymorph in this dataset: 171 meV/atom. The total magnetic moment is 0.00 μB per atom.

[27]
DFT (PBE) results for a geometry-optimized Cd2SbTe structure.

Cell: 5.3004 5.3004 5.3004 Å, 60.00 60.00 60.00°
Fractional positions:
Sb 0.0000 0.0000 0.0000
Te 0.5000 0.5000 0.5000
Cd 0.7500 0.7500 0.7500
Cd 0.2500 0.2500 0.2500

Summary:
As for the density of states at the Fermi level: 2.67 states/eV/cell. The value obtained for the uncorrected formation energy is 0.679 eV/f.u. As for the energy above the most stable polymorph in this dataset: 281 meV/atom. The total magnetic moment is 0.00 μB per atom.

[28]
DFT (PBE) results for a geometry-optimized CdSbTe4 structure.

Cell: 6.3602 6.3602 6.3602 Å, 60.00 60.00 60.00°
Fractional positions:
Te 0.3748 0.3748 0.3748
Sb 0.0000 0.0000 0.0000
Te 0.3748 0.3748 0.8755
Te 0.3748 0.8755 0.3748
Cd 0.7500 0.7500 0.7500
Te 0.8755 0.3748 0.3748

Summary:
As for the density of states at the Fermi level: 4.84 states/eV/cell. The value obtained for the uncorrected formation energy is 2.762 eV/f.u. The total magnetic moment is 0.00 μB per atom.

[29]
DFT (PBE) results for a geometry-optimized Cd3SbTe structure.

Cell: 5.5263 5.5263 5.5263 Å, 90.00 90.00 90.00°
Fractional positions:
Sb 0.0000 0.0000 0.0000
Cd 0.5000 0.0000 0.0000
Te 0.5000 0.5000 0.5000
Cd 0.0000 0.0000 0.5000
Cd 0.0000 0.5000 0.0000

Summary:
As for the density of states at the Fermi level: 2.19 states/eV/cell. The value obtained for the uncorrected formation energy is 1.014 eV/f.u. As for the energy above the most stable polymorph in this dataset: 301 meV/atom. The total magnetic moment is 0.00 μB per atom.